(1)
DFT (GGA-PBE) results for a relaxed structure of SbPt2Se4.

abc: 7.1021 7.1021 12.5775
angles: 90.00 90.00 90.00
Space group I4_1/a (No. 88, origin choice 2)
Unique sites:
Sb  0.0000  0.2500  0.1250
Pt  0.0000  0.0000  0.5000
Se  0.1503  0.0503  0.3256

Results
Fermi-level density of states in states/eV/cell: 14.73
Total moment in μB per cell: 0.0
Raw formation energy in meV per atom: -256
Electronic total energy in eV per atom: -4.562
Crystal system: tetragonal


(2)
DFT (GGA-PBE) results for a relaxed structure of SbPt2Se.

abc: 6.6411 3.8248 6.6628
angles: 90.00 109.42 90.00
Space group C2/m (No. 12)
Unique sites:
Sb  0.0000  0.0000  0.0000
Pt  0.2490  0.0000  0.7476
Se  0.0000  0.5000  0.5000

Results
Fermi-level density of states in states/eV/cell: 5.35
Total moment in μB per cell: 0.0
Raw formation energy in meV per atom: -161
Electronic total energy in eV per atom: -5.083
Crystal system: monoclinic


(3)
DFT (GGA-PBE) results for a relaxed structure of Sb2Pt2Se.

abc: 8.1692 8.1692 3.1665
angles: 90.00 90.00 90.00
Space group P4/mbm (No. 127)
Unique sites:
Sb  0.1819  0.3181  0.0000
Pt  0.1177  0.6177  0.5000
Se  0.0000  0.0000  0.0000

Results
Fermi-level density of states in states/eV/cell: 4.61
Total moment in μB per cell: 0.0
Raw formation energy in meV per atom: 15
Electronic total energy in eV per atom: -4.748
Crystal system: tetragonal